The following is a DFT calculation (PBE with a Hubbard U) of an optimized crystal structure of MnFe3F.

relative energy among the computed polymorphs = 908 meV per atom

Cell: 5.049 5.049 5.049 Å, 90.00 90.00 90.00°
Fractional positions:
Mn 0.000 0.000 0.000
Fe 0.000 0.000 0.500
Fe 0.000 0.500 0.000
Fe 0.500 0.000 0.000
F 0.500 0.500 0.500